(P)
This record from Alexandria via LeMat-Bulk describes CuTcP2 after structural relaxation. The functional is PBEsol.

## Properties
SG: No. 25
calculated volume: 51.45 Å³/cell
M_tot: 0.000 μB per atom

a b c (Å): 2.9980 3.5581 4.8229
angles (deg): 90.00 90.00 90.00
Closest atoms and distances in Å follow each position.
Element x y z (fractional)
Cu1 0.0000 0.0000 0.0000  6 P 2.40-2.44
Tc1 0.5000 0.5000 0.6544  6 P 2.39-2.45
P1 0.0000 0.0000 0.4976  2 Cu 2.40-2.42, 4 Tc 2.45
P2 0.5000 0.5000 0.1502  2 Tc 2.39-2.43, 4 Cu 2.44

---

(Q)
This record from Alexandria via LeMat-Bulk describes CuTcP2 after structural relaxation. The functional is PBEsol.

## Properties
SG: No. 44
calculated volume: 55.09 Å³/cell
M_tot: 0.000 μB per atom

a b c (Å): 6.2201 6.2201 6.2201
angles (deg): 152.94 149.72 41.05
Closest atoms and distances in Å follow each position.
Element x y z (fractional)
Cu1 0.0000 0.0000 0.0000  6 P 2.39-2.49
Tc1 0.7655 0.2655 0.5000  6 P 2.39
P1 0.3498 0.8498 0.5000  2 Cu 2.39, 4 Tc 2.39
P2 0.6030 0.6030 0.0000  2 Tc 2.39, 4 Cu 2.49

---

Most stable: (Q) (next structure +39 meV/atom)

---

(P)
This record from Alexandria via LeMat-Bulk describes ZnCu2P after structural relaxation. The functional is PBEsol.

## Properties
SG: No. 119
calculated volume: 49.52 Å³/cell
M_tot: 0.000 μB per atom

a b c (Å): 4.5890 4.5890 4.5890
angles (deg): 133.79 133.79 67.41
Closest atoms and distances in Å follow each position.
Element x y z (fractional)
Zn1 0.0000 0.0000 0.0000  8 Cu 2.55-2.62, 4 P 2.62
Cu1 0.5000 0.5000 0.0000  4 Zn 2.55, 4 Cu 2.62, 4 P 2.62
Cu2 0.7500 0.2500 0.5000  4 P 2.55, 4 Cu 2.62, 4 Zn 2.62
P1 0.2500 0.7500 0.5000  8 Cu 2.55-2.62, 4 Zn 2.62

---

(Q)
This record from Alexandria via LeMat-Bulk describes ZnCu2P after structural relaxation. The functional is PBEsol.

## Properties
SG: No. 65
calculated volume: 49.98 Å³/cell
M_tot: 0.000 μB per atom

a b c (Å): 4.5049 4.5049 2.6162
angles (deg): 90.00 90.00 109.71
Closest atoms and distances in Å follow each position.
Element x y z (fractional)
Zn1 0.0000 0.0000 0.0000  2 P 2.59, 8 Cu 2.60, 2 Zn 2.62
Cu1 0.0000 0.5000 0.5000  4 Cu 2.59-2.62, 4 Zn 2.60, 4 P 2.60
Cu2 0.5000 0.0000 0.5000  4 Cu 2.59-2.62, 4 Zn 2.60, 4 P 2.60
P1 0.5000 0.5000 0.0000  2 Zn 2.59, 8 Cu 2.60, 2 P 2.62

---

Most stable: (P) (next structure +52 meV/atom)